Record 1
Compound: PmBr3
Source: the Alexandria database
Functional: PBE
Structure: optimized geometry Values from VASP.

Properties
- DOS at the Fermi energy (states/eV per cell) = 0.0
- electronic total energy (Ry/atom) = -0.31774

The structure in Quantum ESPRESSO input format:
```
&SYSTEM
  ibrav = 0, nat = 8, ntyp = 2
/
ATOMIC_SPECIES
Pm 145.00 Pm.upf
Br 79.90 Br.upf
ATOMIC_POSITIONS crystal
Pm 0.166 0.834 0.000
Pm 0.834 0.166 0.000
Br 0.052 0.423 0.765
Br 0.205 0.205 0.239
Br 0.423 0.052 0.765
Br 0.577 0.948 0.235
Br 0.795 0.795 0.761
Br 0.948 0.577 0.235
CELL_PARAMETERS angstrom
3.761 -6.508 0.000
3.761 6.508 0.000
-2.490 0.000 6.986
```

***

Record 2
Compound: PmBr4
Source: the Alexandria database
Functional: PBE
Structure: optimized geometry Values from VASP.

Properties
- DOS at the Fermi energy (states/eV per cell) = 8.0
- electronic total energy (Ry/atom) = -0.25519

The structure in Quantum ESPRESSO input format:
```
&SYSTEM
  ibrav = 0, nat = 5, ntyp = 2
/
ATOMIC_SPECIES
Pm 145.00 Pm.upf
Br 79.90 Br.upf
ATOMIC_POSITIONS crystal
Pm 0.000 0.000 0.000
Br 0.000 0.000 0.500
Br 0.000 0.500 0.000
Br 0.500 0.000 0.000
Br 0.500 0.500 0.500
CELL_PARAMETERS angstrom
5.744 0.000 0.000
0.000 5.744 0.000
0.000 0.000 5.744
```

***

Record 3
Compound: PmBr2
Source: the Alexandria database
Functional: PBE
Structure: optimized geometry Values from VASP.

Properties
- DOS at the Fermi energy (states/eV per cell) = 3.3
- electronic total energy (Ry/atom) = -0.31450

The structure in Quantum ESPRESSO input format:
```
&SYSTEM
  ibrav = 0, nat = 6, ntyp = 2
/
ATOMIC_SPECIES
Pm 145.00 Pm.upf
Br 79.90 Br.upf
ATOMIC_POSITIONS crystal
Pm 0.000 0.000 0.000
Pm 0.500 0.500 0.500
Br 0.219 0.219 0.500
Br 0.281 0.719 0.000
Br 0.719 0.281 0.000
Br 0.781 0.781 0.500
CELL_PARAMETERS angstrom
7.479 0.000 0.000
0.000 7.479 0.000
0.000 0.000 3.733
```

***

Record 4
Compound: PmBr3
Source: the Alexandria database
Functional: PBE
Structure: optimized geometry Values from VASP.

Properties
- DOS at the Fermi energy (states/eV per cell) = 0.0
- electronic total energy (Ry/atom) = -0.31436

The structure in Quantum ESPRESSO input format:
```
&SYSTEM
  ibrav = 0, nat = 8, ntyp = 2
/
ATOMIC_SPECIES
Pm 145.00 Pm.upf
Br 79.90 Br.upf
ATOMIC_POSITIONS crystal
Pm 0.333 0.667 0.250
Pm 0.667 0.333 0.750
Br 0.217 0.434 0.750
Br 0.217 0.783 0.750
Br 0.434 0.217 0.250
Br 0.566 0.783 0.750
Br 0.783 0.217 0.250
Br 0.783 0.566 0.250
CELL_PARAMETERS angstrom
10.745 0.000 0.000
-5.372 9.305 0.000
0.000 0.000 3.874
```

***

Record 5
Compound: PmBr2
Source: the Alexandria database
Functional: PBE
Structure: optimized geometry Values from VASP.

Properties
- DOS at the Fermi energy (states/eV per cell) = 0.2
- electronic total energy (Ry/atom) = -0.32312

The structure in Quantum ESPRESSO input format:
```
&SYSTEM
  ibrav = 0, nat = 12, ntyp = 2
/
ATOMIC_SPECIES
Pm 145.00 Pm.upf
Br 79.90 Br.upf
ATOMIC_POSITIONS crystal
Pm 0.241 0.243 0.123
Pm 0.243 0.241 0.877
Pm 0.757 0.759 0.377
Pm 0.759 0.757 0.623
Br 0.090 0.425 0.437
Br 0.091 0.426 0.316
Br 0.425 0.090 0.563
Br 0.426 0.091 0.684
Br 0.574 0.909 0.184
Br 0.575 0.910 0.063
Br 0.909 0.574 0.816
Br 0.910 0.575 0.937
CELL_PARAMETERS angstrom
1.993 -3.452 0.000
1.993 3.452 0.000
0.000 0.000 31.253
```

***

Record 6
Compound: PmBr5
Source: the Alexandria database
Functional: PBE
Structure: optimized geometry Values from VASP.

Properties
- DOS at the Fermi energy (states/eV per cell) = 0.0
- electronic total energy (Ry/atom) = -0.24718

The structure in Quantum ESPRESSO input format:
```
&SYSTEM
  ibrav = 0, nat = 6, ntyp = 2
/
ATOMIC_SPECIES
Pm 145.00 Pm.upf
Br 79.90 Br.upf
ATOMIC_POSITIONS crystal
Pm 0.000 0.000 0.000
Br 0.000 0.500 0.000
Br 0.126 0.500 0.594
Br 0.429 0.000 0.831
Br 0.571 0.000 0.168
Br 0.915 0.500 0.401
CELL_PARAMETERS angstrom
4.270 0.000 0.000
0.000 5.759 0.000
-1.801 0.000 11.602
```

***

Record 7
Compound: PmPr2Br
Source: the Alexandria database
Functional: PBE
Structure: optimized geometry Values from VASP.

Properties
- DOS at the Fermi energy (states/eV per cell) = 3.9
- electronic total energy (Ry/atom) = -0.32864

The structure in Quantum ESPRESSO input format:
```
&SYSTEM
  ibrav = 0, nat = 4, ntyp = 3
/
ATOMIC_SPECIES
Pm 145.00 Pm.upf
Pr 140.91 Pr.upf
Br 79.90 Br.upf
ATOMIC_POSITIONS crystal
Pm 0.000 0.000 0.000
Pr 0.500 0.500 0.266
Pr 0.500 0.500 0.734
Br 0.000 0.000 0.500
CELL_PARAMETERS angstrom
3.647 0.000 0.000
0.000 3.647 0.000
0.000 0.000 9.813
```

***

Record 8
Compound: PmPrBr5
Source: the Alexandria database
Functional: PBE
Structure: optimized geometry Values from VASP.

Properties
- DOS at the Fermi energy (states/eV per cell) = 1.7
- electronic total energy (Ry/atom) = -0.32152

The structure in Quantum ESPRESSO input format:
```
&SYSTEM
  ibrav = 0, nat = 14, ntyp = 3
/
ATOMIC_SPECIES
Pm 145.00 Pm.upf
Pr 140.91 Pr.upf
Br 79.90 Br.upf
ATOMIC_POSITIONS crystal
Pm 0.081 0.250 0.156
Pm 0.919 0.750 0.844
Pr 0.400 0.750 0.347
Pr 0.600 0.250 0.653
Br 0.135 0.250 0.787
Br 0.150 0.250 0.374
Br 0.179 0.750 0.016
Br 0.364 0.750 0.572
Br 0.435 0.250 0.190
Br 0.565 0.750 0.810
Br 0.636 0.250 0.428
Br 0.821 0.250 0.984
Br 0.850 0.750 0.626
Br 0.865 0.750 0.213
CELL_PARAMETERS angstrom
8.537 0.000 0.000
0.000 4.137 0.000
-0.915 0.000 13.753
```